[1]
Computed, not measured: CdAgSe2 after structural relaxation at the GGA-PBE level of DFT.

Properties
Calculated volume ... 22.4 Å³/atom
Space-group type ... No. 99
Calculated total energy ... -2.54 eV/atom
Total magnetization ... 0.000 μB/atom
Calculated density ... 7.0 g/cm3

a = 2.965 Å, b = 2.965 Å, c = 10.215 Å
α = 90.00°, β = 90.00°, γ = 90.00°
Positions (direct):
Se (0.000, 0.000, 0.952)
Cd (0.500, 0.500, 0.727)
Se (0.500, 0.500, 0.305)
Ag (0.000, 0.000, 0.515)


[2]
Computed, not measured: CdAg2Se after structural relaxation at the GGA-PBE level of DFT.

Properties
Calculated volume ... 20.2 Å³/atom
Space-group type ... No. 216
Calculated total energy ... -2.47 eV/atom
E above lowest polymorph ... 102 meV per atom
Total magnetization ... 0.000 μB/atom
Calculated density ... 8.3 g/cm3

a = 4.856 Å, b = 4.856 Å, c = 4.856 Å
α = 60.00°, β = 60.00°, γ = 60.00°
Positions (direct):
Cd (0.500, 0.500, 0.500)
Se (0.750, 0.750, 0.750)
Ag (0.000, 0.000, 0.000)
Ag (0.250, 0.250, 0.250)


Asked for formation energy without anion corrections across the records above, the calculation gives 142, 55 meV per atom in order.